P.
{
  "formula": "In2Sn2Au",
  "functional": "PBE-GGA",
  "state": "optimized geometry",
  "lattice_angstrom": [[4.167, 0.000, 0.000], [0.000, 4.167, 0.000], [0.000, 0.000, 16.035]],
  "species": ["In", "In", "In", "In", "Sn", "Sn", "Sn", "Sn", "Au", "Au"],
  "frac_coords": [[0.000, 0.000, 0.091], [0.000, 0.000, 0.909], [0.500, 0.500, 0.409], [0.500, 0.500, 0.591], [0.000, 0.500, 0.250], [0.000, 0.500, 0.750], [0.500, 0.000, 0.250], [0.500, 0.000, 0.750], [0.000, 0.000, 0.500], [0.500, 0.500, 0.000]],
  "vol_a3_per_atom": 27.84
}

=====

Q.
{
  "formula": "In2Sn2Au",
  "functional": "PBE-GGA",
  "state": "optimized geometry",
  "lattice_angstrom": [[7.293, 0.000, 0.000], [0.000, 7.293, 0.000], [0.000, 0.000, 4.944]],
  "species": ["In", "In", "In", "In", "Sn", "Sn", "Sn", "Sn", "Au", "Au"],
  "frac_coords": [[0.146, 0.354, 0.000], [0.354, 0.854, 0.000], [0.646, 0.146, 0.000], [0.854, 0.646, 0.000], [0.165, 0.665, 0.500], [0.335, 0.165, 0.500], [0.665, 0.835, 0.500], [0.835, 0.335, 0.500], [0.000, 0.000, 0.000], [0.500, 0.500, 0.000]],
  "vol_a3_per_atom": 26.30
}

=====

R.
{
  "formula": "In2Sn2Au",
  "functional": "PBE-GGA",
  "state": "optimized geometry",
  "lattice_angstrom": [[-2.330, 2.330, 12.116], [2.330, -2.330, 12.116], [2.330, 2.330, -12.116]],
  "species": ["In", "In", "In", "In", "Sn", "Sn", "Sn", "Sn", "Au", "Au"],
  "frac_coords": [[0.050, 0.300, 0.750], [0.300, 0.050, 0.250], [0.700, 0.950, 0.750], [0.950, 0.700, 0.250], [0.198, 0.448, 0.750], [0.448, 0.198, 0.250], [0.552, 0.802, 0.750], [0.802, 0.552, 0.250], [0.375, 0.625, 0.750], [0.625, 0.375, 0.250]],
  "vol_a3_per_atom": 26.31
}

=====

Most stable: R (next structure +82 meV/atom)